# PBE SrWAu2, optimized geometry
data_SrWAu2
_cell_length_a 6.997
_cell_length_b 6.997
_cell_length_c 6.997
_cell_angle_alpha 90.00
_cell_angle_beta 90.00
_cell_angle_gamma 90.00
_space_group_name_H-M_alt 'F -4 3 m'
_space_group_IT_number 216
_space_group_name_Hall 'F -4 2 3'
loop_
_atom_site_label
_atom_site_fract_x
_atom_site_fract_y
_atom_site_fract_z
_atom_site_occupancy
Sr1 0.000 0.000 0.000 1
W1 0.250 0.250 0.250 1
Au1 0.000 0.000 0.500 1
Au2 0.250 0.250 0.750 1
# - energy relative to the lowest polymorph listed for this composition (meV/atom) = 520


# PBE SrW2Au, optimized geometry
data_SrW2Au
_cell_length_a 4.750
_cell_length_b 4.750
_cell_length_c 19.564
_cell_angle_alpha 90.00
_cell_angle_beta 90.00
_cell_angle_gamma 90.00
_space_group_name_H-M_alt 'I -4 2 d'
_space_group_IT_number 122
_space_group_name_Hall 'I -4 2bw'
loop_
_atom_site_label
_atom_site_fract_x
_atom_site_fract_y
_atom_site_fract_z
_atom_site_occupancy
Sr1 0.000 0.000 0.000 1
W1 0.026 0.250 0.625 1
Au1 0.000 0.000 0.500 1
# - energy relative to the lowest polymorph listed for this composition (meV/atom) = 704


# PBE Sr4WAu, optimized geometry
data_Sr4WAu
_cell_length_a 9.519
_cell_length_b 9.519
_cell_length_c 9.519
_cell_angle_alpha 90.00
_cell_angle_beta 90.00
_cell_angle_gamma 90.00
_space_group_name_H-M_alt 'F -4 3 m'
_space_group_IT_number 216
_space_group_name_Hall 'F -4 2 3'
loop_
_atom_site_label
_atom_site_fract_x
_atom_site_fract_y
_atom_site_fract_z
_atom_site_occupancy
Sr1 0.125 0.125 0.125 1
W1 0.250 0.250 0.750 1
Au1 0.000 0.000 0.500 1
# - DFT total energy (eV per atom) = -2.58


Result set for total magnetic moment: 2.86; 0.00; 4.57 μB/f.u., one per record in the order listed.
Result set for calculated volume: 21.413; 27.588; 35.943 A^3/atom, one per record in the order listed.